A plane-wave DFT calculation with meta-GGA SCAN was carried out for a PBEsol-optimized structure of SrLiCd2.

Unit cell a=5.9622 b=5.9622 c=5.9622 alpha=47.72 beta=47.72 gamma=47.72
Positions (direct):
Sr1 0.0000 0.0000 0.0000
Li1 0.8003 0.8003 0.8003
Cd1 0.2069 0.2069 0.2069
Cd2 0.4997 0.4997 0.4997

Computed properties:
Energy of formation: -31 kJ/mol of atoms
Crystal system: trigonal
Raw total energy: -21.69 eV per atom
Relative energy among the computed polymorphs: 7 meV per atom
Space group: R3m (160)

=====

A plane-wave DFT calculation with meta-GGA SCAN was carried out for a PBEsol-optimized structure of KP2H4O8.

Unit cell a=7.6726 b=11.6208 c=9.2377 alpha=90.00 beta=116.50 gamma=90.00
Positions (direct):
K1 0.2362 0.1071 0.2791
K2 0.2362 0.3929 0.7791
K3 0.7638 0.6071 0.2209
K4 0.7638 0.8929 0.7209
P1 0.0797 0.0808 0.6754
P2 0.0797 0.4192 0.1754
P3 0.3362 0.7084 0.6859
P4 0.3362 0.7916 0.1859
P5 0.6638 0.2084 0.8141
P6 0.6638 0.2916 0.3141
P7 0.9203 0.5808 0.8246
P8 0.9203 0.9192 0.3246
H1 0.0281 0.6823 0.6357
H2 0.0281 0.8177 0.1357
H3 0.2341 0.5937 0.2762
H4 0.2341 0.9063 0.7762
H5 0.3995 0.7231 0.4618
H6 0.3995 0.7769 0.9618
H7 0.4129 0.0946 0.6684
H8 0.4129 0.4054 0.1684
H9 0.5871 0.5946 0.8316
H10 0.5871 0.9054 0.3316
H11 0.6005 0.2231 0.0382
H12 0.6005 0.2769 0.5382
H13 0.7659 0.0937 0.2238
H14 0.7659 0.4063 0.7238
H15 0.9719 0.1823 0.8643
H16 0.9719 0.3177 0.3643
O1 0.0889 0.1838 0.7824
O2 0.0889 0.3162 0.2824
O3 0.1193 0.6794 0.5756
O4 0.1193 0.8206 0.0756
O5 0.1405 0.5697 0.9421
O6 0.1405 0.9303 0.4421
O7 0.1429 0.5296 0.2833
O8 0.1429 0.9704 0.7833
O9 0.2071 0.1025 0.5879
O10 0.2071 0.3975 0.0879
O11 0.3607 0.6955 0.3077
O12 0.3607 0.8045 0.8077
O13 0.4323 0.5945 0.7774
O14 0.4323 0.9055 0.2774
O15 0.4413 0.7479 0.5860
O16 0.4413 0.7521 0.0860
O17 0.5587 0.2479 0.9140
O18 0.5587 0.2521 0.4140
O19 0.5677 0.0945 0.7226
O20 0.5677 0.4055 0.2226
O21 0.6393 0.1955 0.1923
O22 0.6393 0.3045 0.6923
O23 0.7929 0.6025 0.9121
O24 0.7929 0.8975 0.4121
O25 0.8571 0.0296 0.2167
O26 0.8571 0.4704 0.7167
O27 0.8595 0.0697 0.5579
O28 0.8595 0.4303 0.0579
O29 0.8807 0.1794 0.9244
O30 0.8807 0.3206 0.4244
O31 0.9111 0.6838 0.7176
O32 0.9111 0.8162 0.2176

Computed properties:
Crystal system: monoclinic
Raw total energy: -7.94 eV per atom
Space group: P2_1/c (14)

=====

A plane-wave DFT calculation with meta-GGA SCAN was carried out for a PBEsol-optimized structure of U2SnRu2.

Unit cell a=7.4555 b=7.4555 c=3.4296 alpha=90.00 beta=90.00 gamma=90.00
Positions (direct):
U1 0.1658 0.3342 0.0000
U2 0.3342 0.8342 0.0000
U3 0.6658 0.1658 0.0000
U4 0.8342 0.6658 0.0000
Sn1 0.0000 0.0000 0.5000
Sn2 0.5000 0.5000 0.5000
Ru1 0.1368 0.6368 0.5000
Ru2 0.3632 0.1368 0.5000
Ru3 0.6368 0.8632 0.5000
Ru4 0.8632 0.3632 0.5000

Computed properties:
Energy of formation: -24 kJ/mol of atoms
Crystal system: tetragonal
Raw total energy: -62.78 eV per atom
Space group: P4/mbm (127)

=====

A plane-wave DFT calculation with meta-GGA SCAN was carried out for a PBEsol-optimized structure of TaSnRh2C.

Unit cell a=4.6064 b=4.6064 c=5.3482 alpha=90.00 beta=90.00 gamma=90.00
Positions (direct):
Ta1 0.0000 0.0000 0.0000
Sn1 0.0000 0.0000 0.5000
Rh1 0.0000 0.5000 0.0000
Rh2 0.5000 0.0000 0.0000
C1 0.5000 0.5000 0.5000

Computed properties:
Energy of formation: 215 kJ/mol of atoms
Crystal system: tetragonal
Raw total energy: -33.80 eV per atom
Space group: P4/mmm (123)

=====

A plane-wave DFT calculation with meta-GGA SCAN was carried out for a PBEsol-optimized structure of ZnSb.

Unit cell a=6.1513 b=7.6740 c=8.0584 alpha=90.00 beta=90.00 gamma=90.00
Positions (direct):
Zn1 0.0401 0.1053 0.1267
Zn2 0.0401 0.3947 0.6267
Zn3 0.4599 0.6053 0.1267
Zn4 0.4599 0.8947 0.6267
Zn5 0.5401 0.1053 0.3733
Zn6 0.5401 0.3947 0.8733
Zn7 0.9599 0.6053 0.3733
Zn8 0.9599 0.8947 0.8733
Sb1 0.1431 0.5844 0.8895
Sb2 0.1431 0.9156 0.3895
Sb3 0.3569 0.0844 0.8895
Sb4 0.3569 0.4156 0.3895
Sb5 0.6431 0.5844 0.6105
Sb6 0.6431 0.9156 0.1105
Sb7 0.8569 0.0844 0.6105
Sb8 0.8569 0.4156 0.1105

Computed properties:
ΔE_f (raw): -0.05 eV per formula unit
Crystal system: orthorhombic
Raw total energy: -25.41 eV per atom
Space group: Pbca (61)

=====

A plane-wave DFT calculation with meta-GGA SCAN was carried out for a PBEsol-optimized structure of KIrAu.

Unit cell a=2.7935 b=2.7935 c=8.0349 alpha=90.00 beta=90.00 gamma=120.00
Positions (direct):
K1 0.0000 0.0000 0.0000
Ir1 0.6667 0.3333 0.3389
Au1 0.3333 0.6667 0.6444

Computed properties:
Energy of formation: 55 kJ/mol of atoms
Crystal system: trigonal
Raw total energy: -48.96 eV per atom
Space group: P3m1 (156)

=====

A plane-wave DFT calculation with meta-GGA SCAN was carried out for a PBEsol-optimized structure of Mg2MoO2.

Unit cell a=5.6522 b=5.6522 c=5.6522 alpha=138.80 beta=138.80 gamma=59.69
Positions (direct):
Mg1 0.2500 0.7500 0.5000
Mg2 0.7500 0.2500 0.5000
Mo1 0.0000 0.0000 0.0000
O1 0.2141 0.2141 0.0000
O2 0.7859 0.7859 0.0000

Computed properties:
ΔE_f (raw): -6.89 eV per formula unit
Crystal system: tetragonal
Raw total energy: -12.84 eV per atom
Space group: I4/mmm (139)

=====

A plane-wave DFT calculation with meta-GGA SCAN was carried out for a PBEsol-optimized structure of CaTa2Mn.

Unit cell a=4.6960 b=4.6960 c=4.6960 alpha=60.00 beta=60.00 gamma=60.00
Positions (direct):
Ca1 0.0000 0.0000 0.0000
Ta1 0.2500 0.2500 0.2500
Ta2 0.5000 0.5000 0.5000
Mn1 0.7500 0.7500 0.7500

Computed properties:
Energy of formation: 62 kJ/mol of atoms
Crystal system: cubic
Raw total energy: -39.63 eV per atom
Relative energy among the computed polymorphs: 12 meV per atom
Space group: F-43m (216)

=====

A plane-wave DFT calculation with meta-GGA SCAN was carried out for a PBEsol-optimized structure of LiHg2Os.

Unit cell a=4.5525 b=4.5525 c=4.5525 alpha=60.00 beta=60.00 gamma=60.00
Positions (direct):
Li1 0.0000 0.0000 0.0000
Hg1 0.5000 0.5000 0.5000
Hg2 0.7500 0.7500 0.7500
Os1 0.2500 0.2500 0.2500

Computed properties:
Energy of formation: 70 kJ/mol of atoms
Crystal system: cubic
Raw total energy: -51.93 eV per atom
Relative energy among the computed polymorphs: 378 meV per atom
Space group: F-43m (216)

=====

A plane-wave DFT calculation with meta-GGA SCAN was carried out for a PBEsol-optimized structure of Fe4Co.

Unit cell a=6.0876 b=6.0876 c=2.4297 alpha=97.61 beta=97.61 gamma=37.91
Positions (direct):
Fe1 0.0994 0.0994 0.3978
Fe2 0.3001 0.3001 0.1972
Fe3 0.6999 0.6999 0.8028
Fe4 0.9006 0.9006 0.6022
Co1 0.5000 0.5000 0.0000

Computed properties:
Energy of formation: -10 kJ/mol of atoms
Crystal system: monoclinic
Raw total energy: -18.06 eV per atom
Relative energy among the computed polymorphs: 22 meV per atom
Space group: C2/m (12)

=====

A plane-wave DFT calculation with meta-GGA SCAN was carried out for a PBEsol-optimized structure of In2SnPtF.

Unit cell a=4.7097 b=4.7097 c=4.6918 alpha=90.00 beta=90.00 gamma=90.00
Positions (direct):
In1 0.0000 0.5000 0.0000
In2 0.5000 0.0000 0.0000
Sn1 0.0000 0.0000 0.5000
Pt1 0.5000 0.5000 0.5000
F1 0.0000 0.0000 0.0000

Computed properties:
ΔE_f (raw): -0.92 eV per formula unit
Crystal system: tetragonal
Raw total energy: -35.47 eV per atom
Space group: P4/mmm (123)

=====

A plane-wave DFT calculation with meta-GGA SCAN was carried out for a PBEsol-optimized structure of SrLi3Cd.

Unit cell a=5.1553 b=5.1553 c=5.1553 alpha=90.00 beta=90.00 gamma=90.00
Positions (direct):
Sr1 0.0000 0.0000 0.0000
Li1 0.0000 0.5000 0.5000
Li2 0.5000 0.0000 0.5000
Li3 0.5000 0.5000 0.0000
Cd1 0.5000 0.5000 0.5000

Computed properties:
Energy of formation: -6 kJ/mol of atoms
Crystal system: cubic
Raw total energy: -12.04 eV per atom
Space group: Pm-3m (221)

=====

A plane-wave DFT calculation with meta-GGA SCAN was carried out for a PBEsol-optimized structure of Li7Fe7SiO16.

Unit cell a=4.9627 b=4.9627 c=11.1174 alpha=90.00 beta=90.00 gamma=111.56
Positions (direct):
Li1 0.0000 0.0000 0.0000
Li2 0.0000 0.5000 0.1251
Li3 0.0000 0.5000 0.6201
Li4 0.5000 0.0000 0.3799
Li5 0.5000 0.0000 0.8749
Li6 0.5000 0.5000 0.2490
Li7 0.5000 0.5000 0.7510
Fe1 0.0000 0.0000 0.2645
Fe2 0.0000 0.0000 0.7355
Fe3 0.0000 0.5000 0.3731
Fe4 0.0000 0.5000 0.8710
Fe5 0.5000 0.0000 0.1290
Fe6 0.5000 0.0000 0.6269
Fe7 0.5000 0.5000 0.0000
Si1 0.5000 0.5000 0.5000
O1 0.2400 0.2710 0.8777
O2 0.2446 0.7538 0.2521
O3 0.2462 0.7554 0.7479
O4 0.2544 0.2891 0.3842
O5 0.2674 0.7326 0.0000
O6 0.2710 0.2400 0.1223
O7 0.2851 0.7149 0.5000
O8 0.2891 0.2544 0.6158
O9 0.7109 0.7456 0.6158
O10 0.7149 0.2851 0.5000
O11 0.7290 0.7600 0.1223
O12 0.7326 0.2674 0.0000
O13 0.7456 0.7109 0.3842
O14 0.7538 0.2446 0.7479
O15 0.7554 0.2462 0.2521
O16 0.7600 0.7290 0.8777

Computed properties:
ΔE_f (raw): -59.72 eV per formula unit
Crystal system: orthorhombic
Raw total energy: -10.10 eV per atom
Space group: C222 (21)

=====

A plane-wave DFT calculation with meta-GGA SCAN was carried out for a PBEsol-optimized structure of Cd2HgAu.

Unit cell a=3.7179 b=3.7179 c=5.7793 alpha=90.00 beta=90.00 gamma=90.00
Positions (direct):
Cd1 0.0000 0.0000 0.0000
Cd2 0.5000 0.5000 0.2711
Hg1 0.0000 0.0000 0.5106
Au1 0.5000 0.5000 0.7800

Computed properties:
Energy of formation: -7 kJ/mol of atoms
Crystal system: tetragonal
Raw total energy: -49.62 eV per atom
Relative energy among the computed polymorphs: 30 meV per atom
Space group: P4mm (99)

=====

A plane-wave DFT calculation with meta-GGA SCAN was carried out for a PBEsol-optimized structure of DyRh2.

Unit cell a=5.2469 b=5.2469 c=5.2469 alpha=60.00 beta=60.00 gamma=60.00
Positions (direct):
Dy1 0.1250 0.1250 0.1250
Dy2 0.8750 0.8750 0.8750
Rh1 0.0000 0.5000 0.5000
Rh2 0.5000 0.0000 0.5000
Rh3 0.5000 0.5000 0.0000
Rh4 0.5000 0.5000 0.5000

Computed properties:
Energy of formation: -82 kJ/mol of atoms
Crystal system: cubic
Raw total energy: -39.30 eV per atom
Space group: Fd-3m (227)

=====

A plane-wave DFT calculation with meta-GGA SCAN was carried out for a PBEsol-optimized structure of CuTc2Mo.

Unit cell a=2.6756 b=2.6756 c=7.7035 alpha=90.00 beta=90.00 gamma=90.00
Positions (direct):
Cu1 0.0000 0.0000 0.0000
Tc1 0.5000 0.5000 0.2413
Tc2 0.5000 0.5000 0.7587
Mo1 0.0000 0.0000 0.5000

Computed properties:
Energy of formation: 31 kJ/mol of atoms
Crystal system: tetragonal
Raw total energy: -29.73 eV per atom
Relative energy among the computed polymorphs: 150 meV per atom
Space group: P4/mmm (123)

=====

A plane-wave DFT calculation with meta-GGA SCAN was carried out for a PBEsol-optimized structure of RbCS3.

Unit cell a=4.4026 b=4.4026 c=4.4026 alpha=90.00 beta=90.00 gamma=90.00
Positions (direct):
Rb1 0.0000 0.0000 0.0000
C1 0.5000 0.5000 0.5000
S1 0.0000 0.5000 0.5000
S2 0.5000 0.0000 0.5000
S3 0.5000 0.5000 0.0000

Computed properties:
ΔE_f (raw): 4.74 eV per formula unit
Crystal system: cubic
Raw total energy: -11.00 eV per atom
Space group: Pm-3m (221)

=====

A plane-wave DFT calculation with meta-GGA SCAN was carried out for a PBEsol-optimized structure of BaLi2Al2.

Unit cell a=8.5201 b=8.5201 c=3.1229 alpha=90.00 beta=90.00 gamma=90.00
Positions (direct):
Ba1 0.0000 0.0000 0.0000
Ba2 0.5000 0.5000 0.0000
Li1 0.1755 0.3245 0.5000
Li2 0.3245 0.8245 0.5000
Li3 0.6755 0.1755 0.5000
Li4 0.8245 0.6755 0.5000
Al1 0.1119 0.6119 0.0000
Al2 0.3881 0.1119 0.0000
Al3 0.6119 0.8881 0.0000
Al4 0.8881 0.3881 0.0000

Computed properties:
Energy of formation: 7 kJ/mol of atoms
Crystal system: tetragonal
Raw total energy: -11.90 eV per atom
Relative energy among the computed polymorphs: 156 meV per atom
Space group: P4/mbm (127)

=====

A plane-wave DFT calculation with meta-GGA SCAN was carried out for a PBEsol-optimized structure of AlTe2Pb.

Unit cell a=9.1673 b=9.1673 c=9.1673 alpha=28.30 beta=28.30 gamma=28.30
Positions (direct):
Al1 0.0000 0.0000 0.0000
Te1 0.0967 0.0967 0.0967
Te2 0.9033 0.9033 0.9033
Pb1 0.5000 0.5000 0.5000

Computed properties:
ΔE_f (raw): 0.72 eV per formula unit
Crystal system: trigonal
Raw total energy: -39.33 eV per atom
Space group: R-3m (166)

=====

A plane-wave DFT calculation with meta-GGA SCAN was carried out for a PBEsol-optimized structure of Te2WBr.

Unit cell a=4.2525 b=4.2525 c=5.0582 alpha=90.00 beta=90.00 gamma=90.00
Positions (direct):
Te1 0.0000 0.5000 0.0000
Te2 0.5000 0.0000 0.0000
W1 0.0000 0.0000 0.5000
Br1 0.5000 0.5000 0.5000

Computed properties:
ΔE_f (raw): 5.01 eV per formula unit
Crystal system: tetragonal
Raw total energy: -39.66 eV per atom
Relative energy among the computed polymorphs: 813 meV per atom
Space group: P4/mmm (123)

=====

A plane-wave DFT calculation with meta-GGA SCAN was carried out for a PBEsol-optimized structure of AgSnC2.

Unit cell a=6.2538 b=6.2538 c=6.2538 alpha=134.63 beta=134.63 gamma=66.10
Positions (direct):
Ag1 0.0000 0.0000 0.0000
Ag2 0.7500 0.2500 0.5000
Sn1 0.2500 0.7500 0.5000
Sn2 0.5000 0.5000 0.0000
C1 0.1148 0.6250 0.9898
C2 0.3750 0.3648 0.4898
C3 0.6352 0.1250 0.0102
C4 0.8750 0.8852 0.5102

Computed properties:
Energy of formation: 164 kJ/mol of atoms
Crystal system: tetragonal
Raw total energy: -20.17 eV per atom
Space group: I-42d (122)

=====

A plane-wave DFT calculation with meta-GGA SCAN was carried out for a PBEsol-optimized structure of ReHgRu.

Unit cell a=4.2836 b=4.2836 c=4.2836 alpha=60.00 beta=60.00 gamma=60.00
Positions (direct):
Re1 0.0000 0.0000 0.0000
Hg1 0.7500 0.7500 0.7500
Ru1 0.2500 0.2500 0.2500

Computed properties:
Energy of formation: 107 kJ/mol of atoms
Crystal system: cubic
Raw total energy: -56.93 eV per atom
Relative energy among the computed polymorphs: 770 meV per atom
Space group: F-43m (216)

=====

A plane-wave DFT calculation with meta-GGA SCAN was carried out for a PBEsol-optimized structure of AgSbW2.

Unit cell a=9.1207 b=9.1207 c=9.1207 alpha=19.69 beta=19.69 gamma=19.69
Positions (direct):
Ag1 0.0000 0.0000 0.0000
Sb1 0.7612 0.7612 0.7612
W1 0.2480 0.2480 0.2480
W2 0.5152 0.5152 0.5152

Computed properties:
ΔE_f (raw): 2.16 eV per formula unit
Crystal system: trigonal
Raw total energy: -51.46 eV per atom
Space group: R3m (160)